# 1
Density functional theory data (PBE-GGA) for crystalline Sr3TmBe2O6 at its relaxed geometry.

Geometry as CIF:
```
data_Sr3TmBe2O6
_space_group_name_H-M_alt 'P 1'
_space_group_IT_number 1
_cell_length_a 5.621
_cell_length_b 5.621
_cell_length_c 6.830
_cell_angle_alpha 90.00
_cell_angle_beta 90.00
_cell_angle_gamma 120.00
loop_
_space_group_symop_operation_xyz
'x,y,z'
loop_
_atom_site_label
_atom_site_fract_x
_atom_site_fract_y
_atom_site_fract_z
Sr1 0.333 0.667 0.684
Sr2 0.667 0.333 0.316
Sr3 0.000 0.000 0.000
Tm1 0.000 0.000 0.500
Be1 0.667 0.333 0.739
Be2 0.333 0.667 0.261
O1 0.648 0.824 0.297
O2 0.176 0.352 0.297
O3 0.176 0.824 0.297
O4 0.824 0.648 0.703
O5 0.352 0.176 0.703
O6 0.824 0.176 0.703
```

## Properties
The value obtained for the total energy is -79.45 eV/f.u. The value obtained for the volume is 187 Å³ per cell. The crystal system is trigonal. Its raw formation energy is -2.73 eV/atom. Its symmetry is P-3m1.

# 2
Density functional theory data (PBE-GGA) for crystalline SrUBe2O6 at its relaxed geometry.

Geometry as CIF:
```
data_SrUBe2O6
_space_group_name_H-M_alt 'P 1'
_space_group_IT_number 1
_cell_length_a 5.977
_cell_length_b 6.930
_cell_length_c 6.930
_cell_angle_alpha 87.73
_cell_angle_beta 73.85
_cell_angle_gamma 73.85
loop_
_space_group_symop_operation_xyz
'x,y,z'
loop_
_atom_site_label
_atom_site_fract_x
_atom_site_fract_y
_atom_site_fract_z
Sr1 0.250 0.904 0.096
Sr2 0.750 0.096 0.904
U1 0.250 0.302 0.698
U2 0.750 0.698 0.302
Be1 0.326 0.784 0.634
Be2 0.174 0.366 0.216
Be3 0.674 0.216 0.366
Be4 0.826 0.634 0.784
O1 0.202 0.003 0.747
O2 0.298 0.253 0.997
O3 0.798 0.997 0.253
O4 0.702 0.747 0.003
O5 0.391 0.792 0.390
O6 0.109 0.610 0.208
O7 0.609 0.208 0.610
O8 0.891 0.390 0.792
O9 0.156 0.629 0.713
O10 0.344 0.287 0.371
O11 0.844 0.371 0.287
O12 0.656 0.713 0.629
```

## Properties
The value obtained for the total energy is -78.57 eV/f.u. The value obtained for the volume is 265 Å³ per cell. The crystal system is monoclinic. Its raw formation energy is -2.84 eV/atom. Its symmetry is C2/c.